The following is a PBE with a Hubbard U calculation of crystalline Co2BrF at its relaxed geometry, from the Alexandria database.

Structure (POSCAR):
```
Co2BrF
1.0
-3.4331 2.9256 1.1107
-0.5745 -2.2100 4.0453
2.3079 4.3557 5.3744
Co Br F
4 2 2
Cartesian
-1.2847 2.3379 2.4283
-0.5671 0.3766 4.1259
0.1685 3.3061 6.3836
-1.7162 4.1220 8.1230
0.0000 0.0000 0.0000
-1.5645 3.8195 4.5316
-2.0038 0.3578 2.5780
-0.1352 1.2518 5.9989
```

## Properties
**E**: -30.6 eV for the cell shown